Density functional theory data (PBE-GGA) for a relaxed TiOsS4 crystal.

Cell: 5.940 5.780 5.812 Å, 90.00 92.86 90.00°
Space group P2_1/c (No. 14)
Symmetry-distinct sites (fractional):
Ti  0.000  0.000  0.000 (multiplicity 2)
Os  0.500  0.000  0.500 (multiplicity 2)
S  0.142  0.133  0.371 (multiplicity 4)
S  0.388  0.624  0.369 (multiplicity 4)

Summary:
- formation energy (no corrections) (eV/atom) = -0.560
- V (Å³/atom) = 16.6
- calculated density (g/cm³) = 6.10

***

Density functional theory data (PBE-GGA) for a relaxed Ti2OsS2 crystal.

Cell: 4.723 4.723 7.320 Å, 90.00 90.00 90.00°
Space group I4/mmm (No. 139)
Symmetry-distinct sites (fractional):
Ti  0.000  0.500  0.250 (multiplicity 4)
Os  0.000  0.000  0.000 (multiplicity 2)
S  0.000  0.000  0.316 (multiplicity 4)

Summary:
- formation energy (no corrections) (eV/atom) = -0.473
- V (Å³/atom) = 16.3
- polymorph energy (0 for the lowest one) (eV per atom) = 0.164
- calculated density (g/cm³) = 7.12

***

Density functional theory data (PBE-GGA) for a relaxed TiOsS2 crystal.

Cell: 4.458 4.458 13.758 Å, 90.00 90.00 90.00°
Space group I-42d (No. 122)
Symmetry-distinct sites (fractional):
Ti  0.000  0.000  0.000 (multiplicity 4)
Os  0.000  0.000  0.500 (multiplicity 4)
S  0.236  0.250  0.625 (multiplicity 8)

Summary:
- formation energy (no corrections) (eV/atom) = -0.383
- V (Å³/atom) = 17.1
- polymorph energy (0 for the lowest one) (eV per atom) = 0.036
- calculated density (g/cm³) = 7.34